# 1
The following is a GGA-PBE calculation of an optimized crystal structure of CsHgS2Cl, from the Alexandria database.

Results
As for the offset from the most stable computed form: 0 meV/atom. The value obtained for the density of states at the Fermi level is 7.29 states/eV/f.u. The value obtained for the raw formation energy is -0.2901 eV/atom.

Unit cell a=5.0767 b=5.0767 c=6.0559 alpha=90.00 beta=90.00 gamma=90.00
Space group P4/mmm (No. 123)
Symmetry-distinct sites (fractional):
Cs  0.0000  0.0000  0.0000 [1 per cell]
Hg  0.5000  0.5000  0.5000 [1 per cell]
S  0.0000  0.5000  0.5000 [2 per cell]
Cl  0.5000  0.5000  0.0000 [1 per cell]


# 2
The following is a GGA-PBE calculation of an optimized crystal structure of BaIBrO2, from the Alexandria database.

Results
As for the offset from the most stable computed form: 73 meV/atom. The value obtained for the density of states at the Fermi level is 1.95 states/eV/f.u. The value obtained for the raw formation energy is -0.2549 eV/atom.

Unit cell a=4.7401 b=4.7401 c=5.3497 alpha=90.00 beta=90.00 gamma=90.00
Space group P4/mmm (No. 123)
Symmetry-distinct sites (fractional):
Ba  0.0000  0.0000  0.0000 [1 per cell]
I  0.5000  0.5000  0.0000 [1 per cell]
Br  0.5000  0.5000  0.5000 [1 per cell]
O  0.0000  0.5000  0.5000 [2 per cell]